# 1
Material: LiRe2Si
Method: DFT, PBE-GGA
State: optimized geometry

The value obtained for the final energy is -7.749 eV/atom.

a b c (Å): 5.1837 7.8143 2.6880
angles (deg): 90.00 90.00 90.00
Fractional coordinates of all 8 atoms:
Li1 0.0000 0.0000 0.0000
Li2 0.5000 0.5000 0.0000
Re1 0.2500 0.2500 0.5000
Re2 0.2500 0.7500 0.5000
Re3 0.7500 0.2500 0.5000
Re4 0.7500 0.7500 0.5000
Si1 0.0000 0.5000 0.0000
Si2 0.5000 0.0000 0.0000


# 2
Material: LiReSi
Method: DFT, PBE-GGA
State: optimized geometry

The value obtained for the final energy is -6.467 eV/atom.

a b c (Å): 3.2037 4.3401 12.6507
angles (deg): 90.00 90.00 90.00
Fractional coordinates of all 12 atoms:
Li1 0.0000 0.0000 0.0000
Li2 0.0000 0.5000 0.5000
Li3 0.5000 0.0000 0.5000
Li4 0.5000 0.5000 0.0000
Re1 0.0000 0.0000 0.3218
Re2 0.0000 0.5000 0.8218
Re3 0.5000 0.0000 0.8218
Re4 0.5000 0.5000 0.3218
Si1 0.0000 0.0000 0.6734
Si2 0.0000 0.5000 0.1734
Si3 0.5000 0.0000 0.1734
Si4 0.5000 0.5000 0.6734


# 3
Material: LiRe3Si
Method: DFT, PBE-GGA
State: optimized geometry

The value obtained for the final energy is -7.602 eV/atom.

a b c (Å): 4.4416 4.4416 4.4416
angles (deg): 90.00 90.00 90.00
Fractional coordinates of all 5 atoms:
Li1 0.0000 0.0000 0.0000
Re1 0.0000 0.5000 0.5000
Re2 0.5000 0.0000 0.5000
Re3 0.5000 0.5000 0.0000
Si1 0.5000 0.5000 0.5000


# 4
Material: LiRe2Si
Method: DFT, PBE-GGA
State: optimized geometry

The value obtained for the final energy is -7.818 eV/atom.

a b c (Å): 3.7077 3.7077 3.9625
angles (deg): 90.00 90.00 90.00
Fractional coordinates of all 4 atoms:
Li1 0.0000 0.0000 0.0000
Re1 0.0000 0.5000 0.5000
Re2 0.5000 0.0000 0.5000
Si1 0.5000 0.5000 0.0000


# 5
Material: LiReSi
Method: DFT, PBE-GGA
State: optimized geometry

The value obtained for the final energy is -6.630 eV/atom.

a b c (Å): 4.1214 4.1214 2.6210
angles (deg): 90.00 90.00 120.00
Fractional coordinates of all 3 atoms:
Li1 0.0000 0.0000 0.0000
Re1 0.3333 0.6667 0.4562
Si1 0.6667 0.3333 0.7854


# 6
Material: LiRe2Si
Method: DFT, PBE-GGA
State: optimized geometry

The value obtained for the final energy is -7.459 eV/atom.

a b c (Å): 7.0101 7.0101 4.9768
angles (deg): 90.00 90.00 90.00
Fractional coordinates of all 16 atoms:
Li1 0.0000 0.0000 0.0000
Li2 0.0000 0.5000 0.2500
Li3 0.5000 0.0000 0.7500
Li4 0.5000 0.5000 0.5000
Re1 0.2100 0.2500 0.6250
Re2 0.2500 0.7100 0.8750
Re3 0.2500 0.7900 0.3750
Re4 0.2900 0.2500 0.1250
Re5 0.7100 0.7500 0.1250
Re6 0.7500 0.2100 0.3750
Re7 0.7500 0.2900 0.8750
Re8 0.7900 0.7500 0.6250
Si1 0.0000 0.0000 0.5000
Si2 0.0000 0.5000 0.7500
Si3 0.5000 0.0000 0.2500
Si4 0.5000 0.5000 0.0000


# 7
Material: LiReSi3
Method: DFT, PBE-GGA
State: optimized geometry

The value obtained for the final energy is -5.732 eV/atom.

a b c (Å): 4.7240 4.7240 4.7240
angles (deg): 90.00 90.00 90.00
Fractional coordinates of all 5 atoms:
Li1 0.0000 0.0000 0.0000
Re1 0.5000 0.5000 0.5000
Si1 0.0000 0.5000 0.5000
Si2 0.5000 0.0000 0.5000
Si3 0.5000 0.5000 0.0000


# 8
Material: LiRe2Si
Method: DFT, PBE-GGA
State: optimized geometry

The value obtained for the final energy is -7.995 eV/atom.

a b c (Å): 2.7929 4.1153 5.1231
angles (deg): 90.00 105.52 90.00
Fractional coordinates of all 4 atoms:
Li1 0.0000 0.0000 0.0000
Re1 0.2635 0.0000 0.5253
Re2 0.6655 0.5000 0.3208
Si1 0.4060 0.5000 0.8168


Copy entry 7 word for word.
Material: LiReSi3
Method: DFT, PBE-GGA
State: optimized geometry

The value obtained for the final energy is -5.732 eV/atom.

a b c (Å): 4.7240 4.7240 4.7240
angles (deg): 90.00 90.00 90.00
Fractional coordinates of all 5 atoms:
Li1 0.0000 0.0000 0.0000
Re1 0.5000 0.5000 0.5000
Si1 0.0000 0.5000 0.5000
Si2 0.5000 0.0000 0.5000
Si3 0.5000 0.5000 0.0000